[1]
Below is Li6Pd8Au after structural relaxation, with properties calculated at the PBE level.

Output
DFT formation energy	-3.30	eV/f.u.
DOS at the Fermi energy	0.326	states/eV per atom
symmetry	R-3

```
Li6Pd8Au
1.0
-6.395 -0.366 -2.382
-4.291 -4.627 2.622
-5.170 2.087 3.951
Li Pd Au
6 8 1
Cartesian
-5.664 -0.526 3.262
-5.793 -2.841 1.171
-6.549 0.068 0.327
-9.307 -2.973 3.864
-10.063 -0.064 3.020
-10.192 -2.379 0.930
-11.803 -2.163 3.120
-6.573 -3.225 3.373
-7.471 0.954 2.874
-9.283 0.320 0.819
-4.053 -0.742 1.071
-8.385 -3.859 1.317
-7.998 -1.163 4.649
-7.858 -1.742 -0.457
0.000 0.000 0.000
```

=====

[2]
Below is LiPd14Au after structural relaxation, with properties calculated at the PBE level.

Output
DFT formation energy	-1.13	eV/f.u.
DOS at the Fermi energy	2.100	states/eV per atom
symmetry	Amm2

```
LiPd14Au
1.0
-3.154 1.470 -4.341
-0.157 -5.208 1.952
-6.808 2.358 5.745
Pd Au Li
14 1 1
Cartesian
-2.916 0.486 0.051
-5.254 -3.035 2.410
-4.559 -1.369 -1.135
-2.285 -0.465 -2.517
-3.003 -2.101 1.036
-2.363 -3.064 -1.542
-3.598 -1.166 3.605
-0.788 -3.801 0.626
-6.372 -0.934 3.879
-0.712 -1.200 -0.351
-6.310 1.662 2.916
-7.954 -0.193 1.729
-4.478 1.220 -2.116
-7.886 2.401 0.760
-3.677 -3.770 4.580
-5.178 -0.424 1.428
```

=====

[3]
Below is Li2PdAu2 after structural relaxation, with properties calculated at the PBE level.

Output
DFT formation energy	-1.82	eV/f.u.
DOS at the Fermi energy	0.251	states/eV per atom
symmetry	P4/mbm

```
Li2PdAu2
1.0
7.332 0.000 0.000
0.000 7.332 0.000
0.000 0.000 2.947
Li Au Pd
4 4 2
Cartesian
2.474 1.192 1.473
4.858 6.140 1.473
1.192 4.858 1.473
6.140 2.474 1.473
6.320 4.678 0.000
1.012 2.654 0.000
4.678 1.012 0.000
2.654 6.320 0.000
0.000 0.000 0.000
3.666 3.666 0.000
```

=====

[4]
Below is Li3PdAu7 after structural relaxation, with properties calculated at the PBE level.

Output
DFT formation energy	-2.19	eV/f.u.
DOS at the Fermi energy	0.241	states/eV per atom
symmetry	C2/m

```
Li3PdAu7
1.0
-0.734 -0.742 -5.222
-2.298 -4.836 4.704
-4.266 4.373 3.671
Au Pd Li
7 1 3
Cartesian
-2.898 1.957 0.679
-3.282 -0.232 4.188
-4.400 -3.163 2.474
-5.409 1.563 1.944
-1.889 -2.768 1.209
-1.401 -0.321 -0.192
-5.897 -0.885 3.345
-3.649 -0.603 1.576
-3.809 2.238 3.911
-2.755 -2.701 4.464
-0.367 -0.371 -2.611
```

=====

[5]
Below is LiPd5Au5 after structural relaxation, with properties calculated at the PBE level.

Output
DFT formation energy	-0.89	eV/f.u.
DOS at the Fermi energy	0.832	states/eV per atom
symmetry	P-1

```
LiPd5Au5
1.0
-2.170 -4.791 0.747
0.847 -1.727 -4.796
6.730 -1.582 0.998
Li Au Pd
1 5 5
Cartesian
0.847 -1.727 -4.796
4.600 -3.676 -3.716
-1.085 -2.395 0.373
6.109 -3.406 -1.369
-0.702 -4.694 -1.682
0.808 -4.424 0.664
1.874 -3.814 -2.587
3.789 -1.655 -1.899
1.499 -2.052 -0.560
3.533 -4.286 -0.464
3.909 -6.048 -2.491
```

=====

[6]
Below is LiPdAu after structural relaxation, with properties calculated at the PBE level.

Output
DFT formation energy	-1.08	eV/f.u.
DOS at the Fermi energy	0.546	states/eV per atom
symmetry	C2/m

```
LiPdAu
1.0
2.820 0.000 0.000
1.410 4.989 0.417
1.410 2.301 6.771
Pd Li Au
2 2 2
Cartesian
2.820 5.967 6.926
2.820 1.323 0.262
2.820 4.559 2.253
2.820 2.731 4.935
1.410 2.214 2.617
4.230 5.076 4.571
```

=====

[7]
Below is Li12Pd6Au after structural relaxation, with properties calculated at the PBE level.

Output
DFT formation energy	-6.34	eV/f.u.
DOS at the Fermi energy	0.320	states/eV per atom
symmetry	R-3

```
Li12Pd6Au
1.0
6.648 0.408 0.489
-0.605 6.633 0.489
-0.605 -0.705 6.614
Li Pd Au
12 6 1
Cartesian
-0.179 0.713 2.572
3.424 1.169 3.514
0.637 2.821 4.133
2.747 2.459 5.812
4.707 3.793 7.199
2.692 3.877 1.779
5.618 5.623 5.019
0.732 2.543 0.392
3.036 6.149 6.430
4.802 3.515 3.458
2.403 0.188 1.161
2.014 5.167 4.077
4.538 2.010 1.271
1.299 0.394 4.940
5.246 1.716 5.386
0.901 4.326 6.320
0.193 4.620 2.205
4.140 5.942 2.651
0.000 0.000 0.000
```

=====

[8]
Below is Li8Pd2Au after structural relaxation, with properties calculated at the PBE level.

Output
DFT formation energy	-3.73	eV/f.u.
DOS at the Fermi energy	0.341	states/eV per atom
symmetry	C2/m

```
Li8Pd2Au
1.0
3.976 0.000 -1.131
-0.391 6.025 -1.374
-0.109 -0.601 7.170
Li Pd Au
8 2 1
Cartesian
0.480 1.026 1.686
2.309 5.276 0.562
3.606 1.008 5.123
1.260 2.824 4.432
2.996 4.398 2.980
2.215 2.600 0.234
-0.130 4.417 -0.457
1.167 0.148 4.103
0.573 3.628 2.015
2.903 1.796 2.651
1.988 0.000 -0.565
```

=====

[9]
Below is Li2Pd4Au5 after structural relaxation, with properties calculated at the PBE level.

Output
DFT formation energy	-0.90	eV/f.u.
DOS at the Fermi energy	0.279	states/eV per atom
symmetry	Immm

```
Li2Pd4Au5
1.0
2.779 0.000 0.000
0.000 7.276 0.000
-1.390 -3.638 9.154
Au Pd Li
5 4 2
Cartesian
1.390 2.116 6.444
1.390 -2.116 6.444
1.390 0.000 0.000
0.000 5.754 2.710
0.000 1.522 2.710
0.000 4.972 0.000
0.000 0.000 5.008
1.390 3.638 4.146
0.000 2.304 0.000
1.390 3.638 1.719
0.000 0.000 7.435
```

=====

[10]
Below is Li3Pd3Au after structural relaxation, with properties calculated at the PBE level.

Output
DFT formation energy	-2.77	eV/f.u.
DOS at the Fermi energy	0.390	states/eV per atom
symmetry	P6_3/m

```
Li3Pd3Au
1.0
-2.976 -3.203 0.958
1.693 -3.442 -6.248
3.664 -1.562 6.155
Au Li Pd
2 6 6
Cartesian
0.775 -4.591 2.740
1.606 -3.616 -1.874
1.696 -2.075 3.558
0.685 -6.133 -2.693
3.521 -4.089 2.490
1.573 -2.805 0.733
-1.139 -4.118 -1.624
0.809 -5.402 0.132
-1.017 -3.457 0.963
0.781 -3.803 5.392
3.399 -4.750 -0.097
2.563 -6.513 1.864
1.600 -4.405 -4.526
-0.181 -1.694 -0.998
```

=====

[11]
Below is Li2Pd7Au2 after structural relaxation, with properties calculated at the PBE level.

Output
DFT formation energy	-0.27	eV/f.u.
DOS at the Fermi energy	1.207	states/eV per atom
symmetry	C2/m

```
Li2Pd7Au2
1.0
6.229 -0.523 -0.459
-0.557 4.802 0.528
-0.846 0.518 6.189
Pd Au Li
7 2 2
Cartesian
3.233 3.377 0.373
2.574 3.700 2.978
1.593 1.420 5.884
0.000 0.000 0.000
2.252 1.097 3.279
-0.389 1.422 3.775
5.215 3.375 2.483
4.096 2.397 4.920
0.730 2.400 1.338
4.376 1.008 1.283
0.450 3.789 4.974
```

=====

[12]
Below is Li3Pd3Au after structural relaxation, with properties calculated at the PBE level.

Output
DFT formation energy	-2.13	eV/f.u.
DOS at the Fermi energy	0.310	states/eV per atom
symmetry	P2_13

```
Li3Pd3Au
1.0
-7.012 -2.216 0.925
1.231 -5.769 -4.487
2.062 -4.092 5.826
Pd Li Au
12 12 4
Cartesian
0.951 -4.991 1.933
-2.944 -6.515 3.960
-2.437 -7.913 1.483
0.663 -6.628 -1.639
-3.357 -3.592 2.320
-1.732 -4.852 -1.735
-0.485 -5.116 4.544
-5.179 -4.496 0.138
-0.763 -2.479 0.465
-4.096 -7.036 -0.713
0.366 -8.123 0.816
-3.301 -10.719 2.009
-0.314 -5.692 -3.705
-0.532 -6.889 2.825
-1.584 -7.248 -0.821
-3.060 -3.276 -0.212
-2.191 -9.080 3.646
1.962 -4.894 4.292
-4.755 -8.736 1.268
-0.850 -3.388 2.817
-5.813 -2.939 1.948
-1.588 -9.897 0.281
0.495 -4.429 -0.526
-4.083 -5.993 1.769
-5.345 -4.734 3.863
2.194 -7.216 3.003
-2.656 -6.910 -3.331
-1.630 -5.293 0.992
```

=====

[13]
Below is Li14PdAu after structural relaxation, with properties calculated at the PBE level.

Output
DFT formation energy	-2.60	eV/f.u.
DOS at the Fermi energy	0.387	states/eV per atom
symmetry	P4/mmm

```
Li14PdAu
1.0
-3.007 -4.662 2.176
0.429 -2.738 -5.275
6.777 -3.313 2.270
Li Au Pd
14 1 1
Cartesian
4.571 -3.289 1.259
-0.753 -4.144 -3.800
-0.967 -2.775 -1.162
1.578 -1.826 0.257
3.265 -7.037 -0.311
0.918 -6.762 1.061
1.796 -3.213 -2.416
2.636 -5.801 -2.665
-2.471 -5.106 -0.075
4.789 -4.676 -1.413
0.055 -4.187 1.359
-2.256 -6.475 -2.712
3.048 -5.650 2.362
0.272 -5.574 -1.314
2.422 -4.431 -0.027
1.132 -8.132 -1.577
```

=====

[14]
Below is Li2PdAu3 after structural relaxation, with properties calculated at the PBE level.

Output
DFT formation energy	-1.81	eV/f.u.
DOS at the Fermi energy	0.268	states/eV per atom
symmetry	Ibam

```
Li2PdAu3
1.0
5.039 0.000 -2.215
-1.154 4.696 -2.626
0.319 1.086 7.567
Li Au Pd
4 6 2
Cartesian
2.860 2.169 -0.332
1.344 3.613 3.058
-0.222 4.460 -0.506
4.426 1.322 3.231
0.683 2.348 -1.867
3.722 3.561 1.629
2.380 4.748 -1.424
0.482 2.221 1.097
3.202 2.348 -2.974
1.824 1.033 4.149
1.260 0.000 -0.554
3.779 0.000 -1.661
```

=====

[15]
Below is Li3Pd2Au after structural relaxation, with properties calculated at the PBE level.

Output
DFT formation energy	-2.84	eV/f.u.
DOS at the Fermi energy	0.235	states/eV per atom
symmetry	Cmmm

```
Li3Pd2Au
1.0
-0.455 -1.909 -3.854
-0.929 -6.710 1.007
-5.850 0.850 0.270
Li Pd Au
6 4 2
Cartesian
-2.200 -4.583 0.104
-5.042 -4.170 0.235
-1.731 -0.736 -1.857
-2.192 -3.599 -2.811
-4.575 -0.323 -1.726
-5.034 -3.186 -2.680
-3.848 -5.324 -1.761
0.000 0.000 0.000
-2.925 0.425 0.135
-3.386 -2.445 -0.815
-0.457 -2.840 -0.966
-0.927 -5.779 -1.881
```

=====

[16]
Below is Li4Pd4Au3 after structural relaxation, with properties calculated at the PBE level.

Output
DFT formation energy	-4.24	eV/f.u.
DOS at the Fermi energy	0.289	states/eV per atom
symmetry	P-1

```
Li4Pd4Au3
1.0
-1.108 -1.258 -2.187
3.487 -2.582 -0.292
-5.054 -11.267 7.247
Au Pd Li
3 4 4
Cartesian
-1.108 -1.258 -2.187
-1.521 -9.889 4.715
-1.154 -5.218 0.053
-4.411 -10.142 4.777
1.736 -4.966 -0.010
-1.717 -6.269 2.703
-0.958 -8.838 2.065
-3.337 -8.495 3.031
0.835 -2.552 0.235
-3.510 -12.555 4.533
0.662 -6.613 1.737
```

=====

[17]
Below is Li4PdAu2 after structural relaxation, with properties calculated at the PBE level.

Output
DFT formation energy	-3.05	eV/f.u.
DOS at the Fermi energy	0.248	states/eV per atom
symmetry	Cmmm

```
Li4PdAu2
1.0
4.314 0.000 0.000
0.000 5.062 -1.619
0.000 0.156 5.312
Li Au Pd
4 2 1
Cartesian
0.000 1.124 0.795
2.157 0.078 2.656
0.000 4.094 2.898
2.157 2.531 -0.810
0.000 1.518 3.388
0.000 3.700 0.305
2.157 2.609 1.846
```

=====

[18]
Below is Li2PdAu2 after structural relaxation, with properties calculated at the PBE level.

Output
DFT formation energy	-0.85	eV/f.u.
DOS at the Fermi energy	0.214	states/eV per atom
symmetry	I4/mmm

```
Li2PdAu2
1.0
3.891 0.000 0.000
0.000 3.891 0.000
1.945 1.945 5.318
Li Pd Au
2 1 2
Cartesian
1.945 1.945 1.068
3.891 3.891 4.250
0.000 0.000 0.000
1.945 3.891 2.659
3.891 1.945 2.659
```

=====

[19]
Below is Li6Pd8Au after structural relaxation, with properties calculated at the PBE level.

Output
DFT formation energy	-4.56	eV/f.u.
DOS at the Fermi energy	0.663	states/eV per atom
symmetry	R-3

```
Li6Pd8Au
1.0
-5.185 -2.279 3.670
-5.288 -2.574 -3.310
-0.933 -6.678 0.296
Pd Li Au
8 6 1
Cartesian
-4.866 -7.399 -1.519
-3.567 -7.146 0.883
-6.540 -4.132 2.174
-5.453 -6.573 2.790
-4.757 -4.809 0.273
-7.839 -4.385 -0.228
-5.953 -4.958 -2.135
-6.649 -6.722 0.382
-2.209 -4.417 0.951
-4.310 -2.329 1.140
-9.197 -7.114 -0.296
-7.957 -8.199 2.173
-3.449 -3.331 -1.518
-7.096 -9.202 -0.484
0.000 0.000 0.000
```

=====

[20]
Below is Li6Pd3Au2 after structural relaxation, with properties calculated at the PBE level.

Output
DFT formation energy	-1.11	eV/f.u.
DOS at the Fermi energy	0.457	states/eV per atom
symmetry	I4/mmm

```
Li6Pd3Au2
1.0
4.738 0.000 0.000
0.000 4.738 0.000
-2.369 -2.369 9.128
Li Pd Au
6 3 2
Cartesian
0.000 2.369 7.442
2.369 0.000 7.442
0.000 0.000 5.271
0.000 2.369 1.685
2.369 0.000 1.685
2.369 2.369 3.857
2.369 2.369 6.401
0.000 0.000 2.726
0.000 0.000 0.000
0.000 0.000 7.792
2.369 2.369 1.336
```